{"formula": "Pm3Pr8Nd2", "functional": "PBE-GGA", "state": "relaxed", "lattice_angstrom": [[6.731, -6.012, 0.000], [6.731, 6.012, 0.000], [-2.539, 0.000, 5.774]], "species": ["Pm", "Pm", "Pm", "Pr", "Pr", "Pr", "Pr", "Pr", "Pr", "Pr", "Pr", "Nd", "Nd"], "frac_coords": [[0.000, 0.000, 0.000], [0.245, 0.755, 0.500], [0.755, 0.245, 0.500], [0.086, 0.573, 0.829], [0.151, 0.151, 0.556], [0.427, 0.914, 0.171], [0.448, 0.448, 0.718], [0.552, 0.552, 0.282], [0.573, 0.086, 0.829], [0.849, 0.849, 0.444], [0.914, 0.427, 0.171], [0.286, 0.286, 0.157], [0.714, 0.714, 0.843]], "crystal_system": "monoclinic", "formation_enthalpy_0k_kj_per_mol_fu": 186, "polymorph_energy_ev_per_atom": 0.0000, "space_group": "C2/m, No. 12"}


{"formula": "Pm2PrNd8", "functional": "PBE-GGA", "state": "relaxed", "lattice_angstrom": [[6.100, -3.569, 0.000], [6.100, 3.569, 0.000], [-2.001, 0.000, 9.015]], "species": ["Pm", "Pm", "Pr", "Nd", "Nd", "Nd", "Nd", "Nd", "Nd", "Nd", "Nd"], "frac_coords": [[0.168, 0.168, 0.158], [0.832, 0.832, 0.842], [0.000, 0.000, 0.500], [0.220, 0.669, 0.174], [0.290, 0.290, 0.840], [0.331, 0.780, 0.826], [0.344, 0.344, 0.500], [0.656, 0.656, 0.500], [0.669, 0.220, 0.174], [0.710, 0.710, 0.160], [0.780, 0.331, 0.826]], "crystal_system": "monoclinic", "formation_enthalpy_0k_kj_per_mol_fu": 142, "polymorph_energy_ev_per_atom": 0.0000, "space_group": "C2/m, No. 12"}


{"formula": "Pm4Pr8Nd3", "functional": "PBE-GGA", "state": "relaxed", "lattice_angstrom": [[7.134, -6.219, 0.000], [7.134, 6.219, 0.000], [-3.427, 0.000, 6.096]], "species": ["Pm", "Pm", "Pm", "Pm", "Pr", "Pr", "Pr", "Pr", "Pr", "Pr", "Pr", "Pr", "Nd", "Nd", "Nd"], "frac_coords": [[0.000, 0.000, 0.000], [0.000, 0.000, 0.500], [0.000, 0.500, 0.000], [0.500, 0.000, 0.000], [0.247, 0.247, 0.250], [0.248, 0.752, 0.500], [0.296, 0.704, 0.000], [0.297, 0.297, 0.799], [0.703, 0.703, 0.201], [0.704, 0.296, 0.000], [0.752, 0.248, 0.500], [0.753, 0.753, 0.750], [0.000, 0.500, 0.500], [0.500, 0.000, 0.500], [0.500, 0.500, 0.500]], "crystal_system": "monoclinic", "formation_enthalpy_0k_kj_per_mol_fu": 426, "polymorph_energy_ev_per_atom": 0.1645, "space_group": "C2/m, No. 12"}


{"formula": "Pm8Pr3Nd2", "functional": "PBE-GGA", "state": "relaxed", "lattice_angstrom": [[6.689, -5.961, 0.000], [6.689, 5.961, 0.000], [-2.489, 0.000, 5.752]], "species": ["Pm", "Pm", "Pm", "Pm", "Pm", "Pm", "Pm", "Pm", "Pr", "Pr", "Pr", "Nd", "Nd"], "frac_coords": [[0.056, 0.056, 0.280], [0.070, 0.582, 0.823], [0.344, 0.344, 0.450], [0.418, 0.930, 0.177], [0.582, 0.070, 0.823], [0.656, 0.656, 0.550], [0.930, 0.418, 0.177], [0.944, 0.944, 0.720], [0.259, 0.741, 0.500], [0.500, 0.500, 0.000], [0.741, 0.259, 0.500], [0.210, 0.210, 0.850], [0.790, 0.790, 0.150]], "crystal_system": "monoclinic", "formation_enthalpy_0k_kj_per_mol_fu": 185, "polymorph_energy_ev_per_atom": 0.0000, "space_group": "C2/m, No. 12"}


{"formula": "Pm2Pr4Nd5", "functional": "PBE-GGA", "state": "relaxed", "lattice_angstrom": [[-1.793, 4.767, 11.799], [1.793, -4.767, 11.799], [1.793, 4.767, -11.799]], "species": ["Pm", "Pm", "Pr", "Pr", "Pr", "Pr", "Nd", "Nd", "Nd", "Nd", "Nd"], "frac_coords": [[0.230, 0.230, 0.000], [0.770, 0.770, 0.000], [0.096, 0.096, 0.000], [0.203, 0.500, 0.703], [0.797, 0.500, 0.297], [0.904, 0.904, 0.000], [0.152, 0.352, 0.800], [0.449, 0.648, 0.800], [0.500, 0.000, 0.500], [0.551, 0.352, 0.200], [0.848, 0.648, 0.200]], "crystal_system": "orthorhombic", "formation_enthalpy_0k_kj_per_mol_fu": 228, "polymorph_energy_ev_per_atom": 0.0888, "space_group": "Immm, No. 71"}


{"formula": "PmPrNd6", "functional": "PBE-GGA", "state": "relaxed", "lattice_angstrom": [[5.203, 0.000, 0.000], [0.000, 5.203, 0.000], [0.000, 0.000, 10.407]], "species": ["Pm", "Pr", "Nd", "Nd", "Nd", "Nd", "Nd", "Nd"], "frac_coords": [[0.000, 0.000, 0.000], [0.000, 0.000, 0.500], [0.000, 0.500, 0.249], [0.000, 0.500, 0.751], [0.500, 0.000, 0.249], [0.500, 0.000, 0.751], [0.500, 0.500, 0.000], [0.500, 0.500, 0.500]], "crystal_system": "tetragonal", "formation_enthalpy_0k_kj_per_mol_fu": 10, "space_group": "P4/mmm, No. 123"}


{"formula": "Pm4Pr8Nd3", "functional": "PBE-GGA", "state": "relaxed", "lattice_angstrom": [[3.577, 2.065, 12.216], [-3.577, 2.065, 12.216], [0.000, -4.131, 12.216]], "species": ["Pm", "Pm", "Pm", "Pm", "Pr", "Pr", "Pr", "Pr", "Pr", "Pr", "Pr", "Pr", "Nd", "Nd", "Nd"], "frac_coords": [[0.000, 0.000, 0.000], [0.165, 0.165, 0.165], [0.500, 0.500, 0.500], [0.835, 0.835, 0.835], [0.251, 0.251, 0.749], [0.251, 0.749, 0.251], [0.251, 0.749, 0.749], [0.253, 0.253, 0.253], [0.747, 0.747, 0.747], [0.749, 0.251, 0.251], [0.749, 0.251, 0.749], [0.749, 0.749, 0.251], [0.000, 0.500, 0.500], [0.500, 0.000, 0.500], [0.500, 0.500, 0.000]], "crystal_system": "trigonal", "formation_enthalpy_0k_kj_per_mol_fu": 188, "polymorph_energy_ev_per_atom": 0.0000, "space_group": "R-3m, No. 166"}


{"formula": "PmPr4Nd", "functional": "PBE-GGA", "state": "relaxed", "lattice_angstrom": [[-2.949, 3.575, 5.050], [2.949, -3.575, 5.050], [2.949, 3.575, -5.050]], "species": ["Pm", "Pr", "Pr", "Pr", "Pr", "Nd"], "frac_coords": [[0.000, 0.000, 0.000], [0.082, 0.332, 0.750], [0.418, 0.668, 0.750], [0.582, 0.332, 0.250], [0.918, 0.668, 0.250], [0.500, 0.000, 0.500]], "crystal_system": "orthorhombic", "formation_enthalpy_0k_kj_per_mol_fu": 30, "polymorph_energy_ev_per_atom": 0.0000, "space_group": "Immm, No. 71"}


{"formula": "Pm5Pr5Nd", "functional": "PBE-GGA", "state": "relaxed", "lattice_angstrom": [[6.300, 0.000, 0.000], [-3.150, 5.456, 0.000], [0.000, 0.000, 11.670]], "species": ["Pm", "Pm", "Pm", "Pm", "Pm", "Pr", "Pr", "Pr", "Pr", "Pr", "Nd"], "frac_coords": [[0.000, 0.000, 0.000], [0.333, 0.667, 0.325], [0.333, 0.667, 0.675], [0.667, 0.333, 0.161], [0.667, 0.333, 0.839], [0.000, 0.000, 0.264], [0.000, 0.000, 0.736], [0.341, 0.170, 0.500], [0.830, 0.170, 0.500], [0.830, 0.659, 0.500], [0.333, 0.667, 0.000]], "crystal_system": "hexagonal", "formation_enthalpy_0k_kj_per_mol_fu": 313, "polymorph_energy_ev_per_atom": 0.1617, "space_group": "P-6m2, No. 187"}


{"formula": "Pm9Pr2Nd", "functional": "PBE-GGA", "state": "relaxed", "lattice_angstrom": [[11.588, 0.000, 0.000], [-5.794, 10.036, 0.000], [0.000, 0.000, 3.576]], "species": ["Pm", "Pm", "Pm", "Pm", "Pm", "Pm", "Pm", "Pm", "Pm", "Pr", "Pr", "Nd"], "frac_coords": [[0.000, 0.500, 0.000], [0.173, 0.346, 0.500], [0.173, 0.827, 0.500], [0.346, 0.173, 0.500], [0.500, 0.000, 0.000], [0.500, 0.500, 0.000], [0.654, 0.827, 0.500], [0.827, 0.173, 0.500], [0.827, 0.654, 0.500], [0.333, 0.667, 0.000], [0.667, 0.333, 0.000], [0.000, 0.000, 0.000]], "crystal_system": "hexagonal", "formation_enthalpy_0k_kj_per_mol_fu": 50, "polymorph_energy_ev_per_atom": 0.0287, "space_group": "P6/mmm, No. 191"}


{"formula": "Pm12Pr3Nd", "functional": "PBE-GGA", "state": "relaxed", "lattice_angstrom": [[5.190, 0.000, 0.000], [0.000, 5.190, 0.000], [0.000, 0.000, 20.735]], "species": ["Pm", "Pm", "Pm", "Pm", "Pm", "Pm", "Pm", "Pm", "Pm", "Pm", "Pm", "Pm", "Pr", "Pr", "Pr", "Nd"], "frac_coords": [[0.000, 0.000, 0.000], [0.000, 0.000, 0.250], [0.000, 0.000, 0.500], [0.000, 0.000, 0.750], [0.000, 0.500, 0.125], [0.000, 0.500, 0.375], [0.000, 0.500, 0.625], [0.000, 0.500, 0.875], [0.500, 0.000, 0.125], [0.500, 0.000, 0.375], [0.500, 0.000, 0.625], [0.500, 0.000, 0.875], [0.500, 0.500, 0.000], [0.500, 0.500, 0.250], [0.500, 0.500, 0.750], [0.500, 0.500, 0.500]], "crystal_system": "tetragonal", "formation_enthalpy_0k_kj_per_mol_fu": 19, "space_group": "P4/mmm, No. 123"}


{"formula": "Pm3Pr3Nd", "functional": "PBE-GGA", "state": "relaxed", "lattice_angstrom": [[4.446, 2.567, 7.481], [-4.446, 2.567, 7.481], [0.000, -5.134, 7.481]], "species": ["Pm", "Pm", "Pm", "Pm", "Pm", "Pm", "Pr", "Pr", "Pr", "Pr", "Pr", "Pr", "Nd", "Nd"], "frac_coords": [[0.062, 0.822, 0.291], [0.178, 0.709, 0.938], [0.291, 0.062, 0.822], [0.709, 0.938, 0.178], [0.822, 0.291, 0.062], [0.938, 0.178, 0.709], [0.069, 0.567, 0.721], [0.279, 0.931, 0.433], [0.433, 0.279, 0.931], [0.567, 0.721, 0.069], [0.721, 0.069, 0.567], [0.931, 0.433, 0.279], [0.347, 0.347, 0.347], [0.653, 0.653, 0.653]], "crystal_system": "trigonal", "formation_enthalpy_0k_kj_per_mol_fu": 135, "polymorph_energy_ev_per_atom": 0.1687, "space_group": "R-3, No. 148"}